GeBiSb2I | PBE | optimized geometry

For the final energy, the calculation gives -13.59 eV/cell. The value obtained for the distance to the lowest polymorph of the same formula is 417.0 meV/atom. The energy relative to the elements, uncorrected is 0.94 eV/atom.

It has space group P4/mmm (No. 123), with a = 5.882 Å, b = 5.882 Å, c = 5.969 Å, α = 90.00°, β = 90.00° and γ = 90.00°. The asymmetric unit holds Ge at (0.000, 0.000, 0.000), Bi at (0.500, 0.500, 0.500), Sb at (0.000, 0.500, 0.500) and I at (0.500, 0.500, 0.000).